1.
PBE Li4NdIn15, relaxed; ΔE_f = -0.187 eV/atom; total magnetization = 0.0 Bohr magnetons per cell
1.0
-0.834 -1.853 4.060
-1.505 -3.771 -2.030
21.820 -8.928 0.407
Li In Nd
4 15 1
Direct
0.000 0.000 0.403
0.000 0.000 0.200
0.000 0.000 0.597
0.000 0.000 0.800
0.500 0.000 0.500
0.000 0.500 0.698
0.000 0.500 0.893
0.500 0.000 0.107
0.000 0.500 0.107
0.500 0.500 0.798
0.500 0.500 0.402
0.500 0.000 0.893
0.500 0.000 0.698
0.000 0.500 0.500
0.000 0.500 0.302
0.500 0.500 0.598
0.500 0.500 0.000
0.500 0.500 0.202
0.500 0.000 0.302
0.000 0.000 0.000



2.
PBE K2Tl3Pb5, relaxed; ΔE_f = -0.067 eV/atom; total magnetization = 0.0 Bohr magnetons per cell
1.0
-4.916 2.012 -4.311
0.762 -8.994 -4.466
-6.620 -1.534 7.433
Tl K Pb
6 4 10
Direct
0.878 0.228 0.522
0.750 0.956 0.044
0.122 0.772 0.478
0.250 0.044 0.956
0.622 0.478 0.772
0.378 0.522 0.228
0.130 0.377 0.876
0.630 0.876 0.377
0.870 0.623 0.124
0.370 0.124 0.623
0.493 0.777 0.714
0.507 0.223 0.286
0.993 0.714 0.777
0.250 0.470 0.530
0.750 0.530 0.470
0.638 0.257 0.984
0.138 0.984 0.257
0.362 0.743 0.016
0.007 0.286 0.223
0.862 0.016 0.743



3.
PBE BeWCl2, relaxed; energy above the lowest structure with this stoichiometry = 1405.8 meV/atom; energy relative to the elements, uncorrected = 1.226 eV per atom; total magnetization = 1.4 Bohr magnetons per cell
1.0
4.066 0.000 0.000
0.000 3.964 0.000
0.000 0.000 3.964
Cl Be W
2 1 1
Direct
0.000 0.000 0.000
0.000 0.500 0.500
0.500 0.000 0.500
0.500 0.500 0.000



4.
PBE Ac3PmGe2, relaxed; ΔE_f = -0.284 eV/atom; total magnetization = 0.0 Bohr magnetons per cell
1.0
8.455 0.806 0.628
3.495 7.740 0.628
3.495 2.500 7.353
Ac Pm Ge
6 2 4
Direct
0.750 0.470 0.030
0.030 0.750 0.470
0.530 0.970 0.250
0.250 0.530 0.970
0.970 0.250 0.530
0.470 0.030 0.750
0.000 0.000 0.000
0.500 0.500 0.500
0.644 0.644 0.644
0.356 0.356 0.356
0.144 0.144 0.144
0.856 0.856 0.856



5.
PBE Na2LiGe2, relaxed; ΔE_f = -0.067 eV/atom; energy above the lowest structure with this stoichiometry = 0.0 meV/atom; total magnetization = 0.0 Bohr magnetons per cell
1.0
5.944 0.000 0.000
-2.972 4.322 -0.036
0.000 -2.179 8.972
Ge Na Li
4 4 2
Direct
0.252 0.283 0.524
0.969 0.717 0.976
0.031 0.283 0.024
0.748 0.717 0.476
0.527 0.282 0.149
0.245 0.718 0.351
0.473 0.718 0.851
0.755 0.282 0.649
0.921 0.000 0.250
0.079 0.000 0.750



6.
PBE TbPr6HoTm2, relaxed; ΔE_f = 0.115 eV/atom; total magnetization = 0.0 Bohr magnetons per cell
1.0
-7.192 -2.100 -6.115
5.966 1.444 -6.555
-0.060 -8.127 3.820
Pr Tm Ho Tb
12 4 2 2
Direct
0.617 0.488 0.706
0.555 0.764 0.114
0.312 0.994 0.437
0.688 0.006 0.563
0.055 0.114 0.764
0.117 0.706 0.488
0.383 0.512 0.294
0.883 0.294 0.512
0.812 0.437 0.994
0.188 0.563 0.006
0.945 0.886 0.236
0.445 0.236 0.886
0.952 0.704 0.799
0.548 0.201 0.296
0.452 0.799 0.704
0.048 0.296 0.201
0.750 0.588 0.412
0.250 0.412 0.588
0.250 0.971 0.029
0.750 0.029 0.971



7.
PBE La3Ho13, relaxed; ΔE_f = 0.023 eV/atom; energy above the lowest structure with this stoichiometry = 0.0 meV/atom; total magnetization = 0.0 Bohr magnetons per cell
1.0
7.282 0.000 0.000
0.000 8.433 -0.888
0.000 0.042 8.480
Ho La
13 3
Direct
0.500 0.788 0.212
0.749 0.955 0.537
0.500 0.294 0.706
0.000 0.211 0.293
0.250 0.544 0.456
0.500 0.215 0.297
0.749 0.463 0.045
0.251 0.955 0.537
0.251 0.463 0.045
0.000 0.707 0.789
0.500 0.703 0.785
0.750 0.544 0.456
0.000 0.788 0.212
0.254 0.039 0.961
0.000 0.293 0.707
0.746 0.039 0.961



8.
PBE NbCoCuPd, relaxed; ΔE_f = -0.046 eV/atom; total magnetization = 0.0 Bohr magnetons per cell
1.0
4.303 0.000 0.000
2.152 3.727 0.000
2.152 1.242 3.514
Cu Pd Nb Co
1 1 1 1
Direct
0.250 0.250 0.250
0.000 0.000 0.000
0.750 0.750 0.750
0.500 0.500 0.500



Q: total magnetization of number 3 (BeWCl2)?
A: 1.4 Bohr magnetons per cell